Record 1
Material: Tl2HgAsCl6
Method: DFT, GGA-PBE
State: relaxed

Cell and atoms, written as CIF:
```
data_Tl2HgAsCl6
_chemical_formula_sum 'Tl4 Hg2 As2 Cl12'
_space_group_name_H-M_alt 'C 1 m 1'
_space_group_IT_number 8
_space_group_name_Hall 'C -2y'
_cell_length_a 10.6086
_cell_length_b 10.7686
_cell_length_c 7.5622
_cell_angle_alpha 90.00
_cell_angle_beta 134.28
_cell_angle_gamma 90.00
loop_
_atom_site_label
_atom_site_type_symbol
_atom_site_fract_x
_atom_site_fract_y
_atom_site_fract_z
_atom_site_occupancy
Tl1 Tl 0.0000 0.2484 0.0000 1
Hg1 Hg 0.0612 0.5000 0.5009 1
As1 As 0.0645 0.0000 0.5015 1
Cl1 Cl 0.0701 0.2338 0.5012 1
Cl2 Cl 0.3002 0.0000 0.4977 1
Cl3 Cl 0.3016 0.0000 0.9650 1
Cl4 Cl 0.3295 0.5000 0.5029 1
Cl5 Cl 0.3373 0.5000 0.0355 1
```

## Properties
The density of states at the Fermi level comes out at 4.48 states/eV/cell. As for the formation energy without anion corrections: -711 meV per atom. The total energy comes out at -2.788 eV per atom.

***

Record 2
Material: TlHg3As2Cl3
Method: DFT, GGA-PBE
State: relaxed

Cell and atoms, written as CIF:
```
data_TlHg3As2Cl3
_chemical_formula_sum 'Tl4 Hg12 As8 Cl12'
_space_group_name_H-M_alt 'P b c m'
_space_group_IT_number 57
_space_group_name_Hall '-P 2c 2b'
_cell_length_a 6.3429
_cell_length_b 12.6480
_cell_length_c 12.6109
_cell_angle_alpha 90.00
_cell_angle_beta 90.00
_cell_angle_gamma 90.00
loop_
_atom_site_label
_atom_site_type_symbol
_atom_site_fract_x
_atom_site_fract_y
_atom_site_fract_z
_atom_site_occupancy
Tl1 Tl 0.0042 0.2405 0.2500 1
Hg1 Hg 0.0000 0.0000 0.0000 1
Hg2 Hg 0.4538 0.7500 0.0000 1
Hg3 Hg 0.4570 0.5202 0.7500 1
As1 As 0.3788 0.5553 0.5513 1
Cl1 Cl 0.0971 0.0122 0.7500 1
Cl2 Cl 0.0990 0.2500 0.0000 1
Cl3 Cl 0.4819 0.2045 0.2500 1
```

## Properties
As for the formation energy without anion corrections: -485 meV per atom. The total energy comes out at -2.497 eV per atom.

***

Record 3
Material: YHg2AsCl
Method: DFT, GGA-PBE
State: relaxed

Cell and atoms, written as CIF:
```
data_YHg2AsCl
_chemical_formula_sum 'Y1 Hg2 As1 Cl1'
_space_group_name_H-M_alt 'P 4/m m m'
_space_group_IT_number 123
_space_group_name_Hall '-P 4 2'
_cell_length_a 5.4576
_cell_length_b 5.4576
_cell_length_c 4.8604
_cell_angle_alpha 90.00
_cell_angle_beta 90.00
_cell_angle_gamma 90.00
loop_
_atom_site_label
_atom_site_type_symbol
_atom_site_fract_x
_atom_site_fract_y
_atom_site_fract_z
_atom_site_occupancy
Y1 Y 0.0000 0.0000 0.0000 1
Hg1 Hg 0.0000 0.5000 0.5000 1
As1 As 0.5000 0.5000 0.0000 1
Cl1 Cl 0.5000 0.5000 0.5000 1
```

## Properties
The density of states at the Fermi level comes out at 3.36 states/eV/cell. As for the formation energy without anion corrections: 277 meV per atom. The total energy comes out at -2.436 eV per atom.

***

Record 4
Material: Zn2HgAsCl
Method: DFT, GGA-PBE
State: relaxed

Cell and atoms, written as CIF:
```
data_Zn2HgAsCl
_chemical_formula_sum 'Zn2 Hg1 As1 Cl1'
_space_group_name_H-M_alt 'P 4/m m m'
_space_group_IT_number 123
_space_group_name_Hall '-P 4 2'
_cell_length_a 5.0977
_cell_length_b 5.0977
_cell_length_c 5.2245
_cell_angle_alpha 90.00
_cell_angle_beta 90.00
_cell_angle_gamma 90.00
loop_
_atom_site_label
_atom_site_type_symbol
_atom_site_fract_x
_atom_site_fract_y
_atom_site_fract_z
_atom_site_occupancy
Zn1 Zn 0.0000 0.5000 0.0000 1
Hg1 Hg 0.0000 0.0000 0.0000 1
As1 As 0.0000 0.0000 0.5000 1
Cl1 Cl 0.5000 0.5000 0.5000 1
```

## Properties
The density of states at the Fermi level comes out at 2.84 states/eV/cell. As for the formation energy without anion corrections: 408 meV per atom. The total energy comes out at -1.461 eV per atom.

***

Record 5
Material: Ho6As5Cl
Method: DFT, GGA-PBE
State: relaxed

Cell and atoms, written as CIF:
```
data_Ho6As5Cl
_chemical_formula_sum 'Ho12 As10 Cl2'
_space_group_name_H-M_alt 'C 1 2/m 1'
_space_group_IT_number 12
_space_group_name_Hall '-C 2y'
_cell_length_a 7.0906
_cell_length_b 12.2555
_cell_length_c 7.0670
_cell_angle_alpha 90.00
_cell_angle_beta 109.44
_cell_angle_gamma 90.00
loop_
_atom_site_label
_atom_site_type_symbol
_atom_site_fract_x
_atom_site_fract_y
_atom_site_fract_z
_atom_site_occupancy
Ho1 Ho 0.2378 0.0000 0.2570 1
Ho2 Ho 0.2397 0.1740 0.7418 1
As1 As 0.0000 0.0000 0.5000 1
As2 As 0.0000 0.1674 0.0000 1
As3 As 0.0000 0.3381 0.5000 1
Cl1 Cl 0.0000 0.5000 0.0000 1
```

## Properties
The density of states at the Fermi level comes out at 4.94 states/eV/cell. As for the formation energy without anion corrections: -1550 meV per atom. The total energy comes out at -5.930 eV per atom.

***

Record 6
Material: Ho2AsCl3
Method: DFT, GGA-PBE
State: relaxed

Cell and atoms, written as CIF:
```
data_Ho2AsCl3
_chemical_formula_sum 'Ho8 As4 Cl12'
_space_group_name_H-M_alt 'C 1 2/m 1'
_space_group_IT_number 12
_space_group_name_Hall '-C 2y'
_cell_length_a 16.4873
_cell_length_b 4.1963
_cell_length_c 12.9453
_cell_angle_alpha 90.00
_cell_angle_beta 126.33
_cell_angle_gamma 90.00
loop_
_atom_site_label
_atom_site_type_symbol
_atom_site_fract_x
_atom_site_fract_y
_atom_site_fract_z
_atom_site_occupancy
Ho1 Ho 0.1089 0.0000 0.4564 1
Ho2 Ho 0.1382 0.5000 0.8273 1
As1 As 0.1020 0.0000 0.6685 1
Cl1 Cl 0.0574 0.5000 0.2756 1
Cl2 Cl 0.1589 0.0000 0.9970 1
Cl3 Cl 0.2374 0.5000 0.5916 1
```

## Properties
The density of states at the Fermi level comes out at 0.00 states/eV/cell. As for the formation energy without anion corrections: -1860 meV per atom. The total energy comes out at -5.084 eV per atom.

***

Record 7
Material: Ho4As3Cl
Method: DFT, GGA-PBE
State: relaxed

Cell and atoms, written as CIF:
```
data_Ho4As3Cl
_chemical_formula_sum 'Ho8 As6 Cl2'
_space_group_name_H-M_alt 'C m m m'
_space_group_IT_number 65
_space_group_name_Hall '-C 2 2'
_cell_length_a 8.1563
_cell_length_b 11.5092
_cell_length_c 4.0810
_cell_angle_alpha 90.00
_cell_angle_beta 90.00
_cell_angle_gamma 90.00
loop_
_atom_site_label
_atom_site_type_symbol
_atom_site_fract_x
_atom_site_fract_y
_atom_site_fract_z
_atom_site_occupancy
Ho1 Ho 0.0000 0.2428 0.0000 1
Ho2 Ho 0.2330 0.0000 0.5000 1
As1 As 0.0000 0.0000 0.0000 1
As2 As 0.2500 0.2500 0.5000 1
Cl1 Cl 0.0000 0.5000 0.0000 1
```

## Properties
The density of states at the Fermi level comes out at 4.94 states/eV/cell. As for the formation energy without anion corrections: -1509 meV per atom. The total energy comes out at -5.773 eV per atom.

***

Record 8
Material: AsI2Cl
Method: DFT, GGA-PBE
State: relaxed

Cell and atoms, written as CIF:
```
data_AsI2Cl
_chemical_formula_sum 'As4 I8 Cl4'
_space_group_name_H-M_alt 'P 1 21/c 1'
_space_group_IT_number 14
_space_group_name_Hall '-P 2ybc'
_cell_length_a 7.5923
_cell_length_b 7.8428
_cell_length_c 13.9813
_cell_angle_alpha 90.00
_cell_angle_beta 118.94
_cell_angle_gamma 90.00
loop_
_atom_site_label
_atom_site_type_symbol
_atom_site_fract_x
_atom_site_fract_y
_atom_site_fract_z
_atom_site_occupancy
As1 As 0.1742 0.0763 0.4126 1
I1 I 0.1316 0.7328 0.0854 1
I2 I 0.4734 0.2203 0.5820 1
Cl1 Cl 0.1797 0.2239 0.2774 1
```

## Properties
For the relative energy among the computed polymorphs, the calculation gives 0 meV per atom. The density of states at the Fermi level comes out at 0.00 states/eV/cell. As for the formation energy without anion corrections: -341 meV per atom. The total energy comes out at -2.740 eV per atom.

***

Record 9
Material: As4I5Cl2
Method: DFT, GGA-PBE
State: relaxed

Cell and atoms, written as CIF:
```
data_As4I5Cl2
_chemical_formula_sum 'As8 I10 Cl4'
_space_group_name_H-M_alt 'C 1 2/m 1'
_space_group_IT_number 12
_space_group_name_Hall '-C 2y'
_cell_length_a 17.5715
_cell_length_b 9.0373
_cell_length_c 7.2754
_cell_angle_alpha 90.00
_cell_angle_beta 107.61
_cell_angle_gamma 90.00
loop_
_atom_site_label
_atom_site_type_symbol
_atom_site_fract_x
_atom_site_fract_y
_atom_site_fract_z
_atom_site_occupancy
As1 As 0.1733 0.0000 0.1495 1
As2 As 0.2325 0.0000 0.4994 1
I1 I 0.0000 0.5000 0.5000 1
I2 I 0.1250 0.2204 0.4592 1
Cl1 Cl 0.2238 0.5000 0.9656 1
```

## Properties
The density of states at the Fermi level comes out at 10.30 states/eV/cell. As for the formation energy without anion corrections: -64 meV per atom. The total energy comes out at -2.795 eV per atom.

***

Record 10
Material: As4I2Cl5
Method: DFT, GGA-PBE
State: relaxed

Cell and atoms, written as CIF:
```
data_As4I2Cl5
_chemical_formula_sum 'As8 I4 Cl10'
_space_group_name_H-M_alt 'C 1 2/m 1'
_space_group_IT_number 12
_space_group_name_Hall '-C 2y'
_cell_length_a 12.6841
_cell_length_b 6.0966
_cell_length_c 11.3269
_cell_angle_alpha 90.00
_cell_angle_beta 103.03
_cell_angle_gamma 90.00
loop_
_atom_site_label
_atom_site_type_symbol
_atom_site_fract_x
_atom_site_fract_y
_atom_site_fract_z
_atom_site_occupancy
As1 As 0.0354 0.0000 0.2871 1
As2 As 0.0766 0.0000 0.9531 1
I1 I 0.1201 0.5000 0.9289 1
Cl1 Cl 0.0000 0.0000 0.5000 1
Cl2 Cl 0.1545 0.2590 0.3013 1
```

## Properties
The density of states at the Fermi level comes out at 3.17 states/eV/cell. As for the formation energy without anion corrections: -268 meV per atom. The total energy comes out at -3.080 eV per atom.

***

Record 11
Material: AsI2Cl
Method: DFT, GGA-PBE
State: relaxed

Cell and atoms, written as CIF:
```
data_AsI2Cl
_chemical_formula_sum 'As4 I8 Cl4'
_space_group_name_H-M_alt 'F m -3 m'
_space_group_IT_number 225
_space_group_name_Hall '-F 4 2 3'
_cell_length_a 7.4863
_cell_length_b 7.4863
_cell_length_c 7.4863
_cell_angle_alpha 90.00
_cell_angle_beta 90.00
_cell_angle_gamma 90.00
loop_
_atom_site_label
_atom_site_type_symbol
_atom_site_fract_x
_atom_site_fract_y
_atom_site_fract_z
_atom_site_occupancy
As1 As 0.0000 0.0000 0.0000 1
I1 I 0.2500 0.2500 0.2500 1
Cl1 Cl 0.0000 0.0000 0.5000 1
```

## Properties
For the relative energy among the computed polymorphs, the calculation gives 674 meV per atom. The density of states at the Fermi level comes out at 1.71 states/eV/cell. As for the formation energy without anion corrections: 333 meV per atom. The total energy comes out at -2.066 eV per atom.

***

Record 12
Material: As2I4Cl
Method: DFT, GGA-PBE
State: relaxed

Cell and atoms, written as CIF:
```
data_As2I4Cl
_chemical_formula_sum 'As4 I8 Cl2'
_space_group_name_H-M_alt 'I 4/m m m'
_space_group_IT_number 139
_space_group_name_Hall '-I 4 2'
_cell_length_a 6.2987
_cell_length_b 6.2987
_cell_length_c 14.4915
_cell_angle_alpha 90.00
_cell_angle_beta 90.00
_cell_angle_gamma 90.00
loop_
_atom_site_label
_atom_site_type_symbol
_atom_site_fract_x
_atom_site_fract_y
_atom_site_fract_z
_atom_site_occupancy
As1 As 0.0000 0.0000 0.0843 1
I1 I 0.0000 0.0000 0.2603 1
I2 I 0.0000 0.5000 0.0000 1
Cl1 Cl 0.0000 0.0000 0.5000 1
```

## Properties
The density of states at the Fermi level comes out at 14.12 states/eV/cell. As for the formation energy without anion corrections: 295 meV per atom. The total energy comes out at -2.183 eV per atom.

***

What did the third record say?
Material: YHg2AsCl
Method: DFT, GGA-PBE
State: relaxed

Cell and atoms, written as CIF:
```
data_YHg2AsCl
_chemical_formula_sum 'Y1 Hg2 As1 Cl1'
_space_group_name_H-M_alt 'P 4/m m m'
_space_group_IT_number 123
_space_group_name_Hall '-P 4 2'
_cell_length_a 5.4576
_cell_length_b 5.4576
_cell_length_c 4.8604
_cell_angle_alpha 90.00
_cell_angle_beta 90.00
_cell_angle_gamma 90.00
loop_
_atom_site_label
_atom_site_type_symbol
_atom_site_fract_x
_atom_site_fract_y
_atom_site_fract_z
_atom_site_occupancy
Y1 Y 0.0000 0.0000 0.0000 1
Hg1 Hg 0.0000 0.5000 0.5000 1
As1 As 0.5000 0.5000 0.0000 1
Cl1 Cl 0.5000 0.5000 0.5000 1
```

## Properties
The density of states at the Fermi level comes out at 3.36 states/eV/cell. As for the formation energy without anion corrections: 277 meV per atom. The total energy comes out at -2.436 eV per atom.